The following is a GGA-PBE calculation of crystalline YZrSi4 at its relaxed geometry, from Alexandria.

a = 7.3715 Å, b = 7.3715 Å, c = 7.3715 Å
α = 90.00°, β = 90.00°, γ = 90.00°
Closest atoms and distances in Å follow each position.
Space group F-43m (No. 216)
One atom of each set of equivalent atoms:
Y (0.0000, 0.0000, 0.0000) [4 per cell]  12 Si 3.06, 4 Zr 3.19
Zr (0.2500, 0.2500, 0.7500) [4 per cell]  12 Si 3.05, 4 Y 3.19
Si (0.1236, 0.1236, 0.3764) [16 per cell]  6 Si 2.58-2.64

Summary:
Its formation energy without anion corrections is -0.233 eV/atom. As for the volume: 401 Å³/cell. The calculation puts the total energy at -6.351 eV/atom. For the spin magnetization, the calculation gives 0.000 μB/atom. As for the crystal system: cubic.